Computed, not measured: crystalline RbNbV2O8 at its relaxed geometry at the PBE with a Hubbard U level of DFT. Values from VASP.

Output
**Density**: 3.03 g/cm³
**Size of the total moment**: 0.0 μB per formula unit
**E_tot**: -7.61 eV/atom

The structure in Quantum ESPRESSO input format:
```
&SYSTEM
  ibrav = 0, nat = 12, ntyp = 4
/
ATOMIC_SPECIES
Rb 85.47 Rb.upf
Nb 92.91 Nb.upf
V 50.94 V.upf
O 16.00 O.upf
CELL_PARAMETERS angstrom
-5.4331 -0.5233 1.2666
-1.6160 -4.3871 3.0885
1.0209 4.2311 6.8343
ATOMIC_POSITIONS crystal
Rb 0.0000 0.0000 0.5000
Nb 0.0000 0.0000 0.0000
V 0.6499 0.6499 0.2116
V 0.3501 0.3501 0.7884
O 0.7017 0.1918 0.8360
O 0.8096 0.8096 0.0990
O 0.6799 0.6799 0.4109
O 0.3201 0.3201 0.5891
O 0.1904 0.1904 0.9010
O 0.1918 0.7017 0.8360
O 0.8082 0.2983 0.1640
O 0.2983 0.8082 0.1640
```